Pr7Dy12Ho after structural relaxation, computed with GGA-PBE.

Geometry as POSCAR:
```
Pr7Dy12Ho
1.0
-2.020 8.274 -4.931
0.442 -7.548 -6.299
-7.072 -1.675 6.635
Dy Pr Ho
12 7 1
Cartesian
-3.857 -0.641 0.501 Dy
-5.390 -6.781 -2.499 Dy
-3.420 2.165 -8.056 Dy
-6.035 -2.745 -2.256 Dy
-0.164 -3.668 -5.963 Dy
-6.637 1.137 -1.924 Dy
-2.616 1.796 -2.338 Dy
-4.794 -0.308 -5.095 Dy
-2.014 -2.086 -2.670 Dy
-3.261 5.832 -2.096 Dy
-5.231 -3.114 3.461 Dy
-8.487 2.719 1.369 Dy
-3.315 -4.611 0.168 Pr
0.221 -3.774 -3.150 Pr
-4.546 3.300 0.852 Pr
-1.010 4.137 -2.465 Pr
-4.325 -0.474 -2.297 Pr
-3.536 -0.837 3.318 Pr
-0.789 0.363 -5.615 Pr
0.000 0.000 0.000 Ho
```

Computed properties:
E_form   0.6306 eV/atom
Energy relative to the lowest polymorph listed for this composition   403 meV per atom
DOS(E_F)   28.41 states/eV per cell
Space group   Im-3m (229)